1.
Below is a geometry-optimized Li2Au2Br7 structure, with properties calculated at the PBE level.

Space group = C2/c, No. 15
E_tot = -55.61 eV/cell
Formation energy from raw total energies = -519 meV per atom
Energy above the lowest structure with this stoichiometry = 0.048 eV per atom

Lattice parameters (Å, degrees): 7.806 7.806 13.819 107.72 107.72 101.84
Sites, in units of the cell vectors:
Li 0.296 0.737 0.423
Li 0.263 0.704 0.077
Li 0.737 0.296 0.923
Li 0.704 0.263 0.577
Au 0.094 0.159 0.195
Au 0.159 0.094 0.695
Au 0.841 0.906 0.305
Au 0.906 0.841 0.805
Br 0.936 0.669 0.372
Br 0.052 0.418 0.093
Br 0.364 0.404 0.405
Br 0.824 0.176 0.250
Br 0.669 0.936 0.872
Br 0.418 0.052 0.593
Br 0.404 0.364 0.905
Br 0.596 0.636 0.095
Br 0.582 0.948 0.407
Br 0.331 0.064 0.128
Br 0.176 0.824 0.750
Br 0.636 0.596 0.595
Br 0.948 0.582 0.907
Br 0.064 0.331 0.628



2.
Below is a geometry-optimized PaTa2BC4 structure, with properties calculated at the PBE level.

Space group = Cmcm, No. 63
E_tot = -159.07 eV/cell
Energy of formation = -0.3449 eV/atom

Lattice parameters (Å, degrees): 3.174 5.503 10.670 90.00 90.00 106.76
Sites, in units of the cell vectors:
Pa 0.098 0.197 0.750
Pa 0.902 0.803 0.250
Ta 0.367 0.734 0.548
Ta 0.633 0.266 0.048
Ta 0.633 0.266 0.452
Ta 0.367 0.734 0.952
B 0.826 0.653 0.750
B 0.174 0.347 0.250
C 0.267 0.534 0.126
C 0.733 0.466 0.626
C 0.733 0.466 0.874
C 0.267 0.534 0.374
C 0.000 0.000 0.500
C 0.000 0.000 0.000
C 0.416 0.832 0.750
C 0.584 0.168 0.250



Number 1: N(E_F) 7.023 states/eV per cell, spin magnetization 0.00 Bohr magnetons per cell. Number 2: N(E_F) 5.526 states/eV per cell, spin magnetization 0.00 Bohr magnetons per cell.